w) # PBE AgAsI2, optimized geometry
data_AgAsI2
_chemical_formula_sum 'Ag4 As4 I8'
_cell_length_a 7.5411
_cell_length_b 7.5411
_cell_length_c 7.5411
_cell_angle_alpha 90.00
_cell_angle_beta 90.00
_cell_angle_gamma 90.00
_symmetry_space_group_name_H-M 'F m -3 m'
_symmetry_Int_Tables_number 225
_symmetry_space_group_name_Hall '-F 4 2 3'
loop_
_atom_site_label
_atom_site_type_symbol
_atom_site_fract_x
_atom_site_fract_y
_atom_site_fract_z
Ag1 Ag 0.0000 0.0000 0.0000
As1 As 0.0000 0.0000 0.5000
I1 I 0.2500 0.2500 0.2500
# Calculated volume in Å³/cell: 429
# Spin magnetization in μB/atom: 0.000

---

x) # PBE AgAsI2, optimized geometry
data_AgAsI2
_chemical_formula_sum 'Ag4 As4 I8'
_cell_length_a 5.7720
_cell_length_b 5.7720
_cell_length_c 17.0499
_cell_angle_alpha 90.00
_cell_angle_beta 90.00
_cell_angle_gamma 90.00
_symmetry_space_group_name_H-M 'I -4 2 d'
_symmetry_Int_Tables_number 122
_symmetry_space_group_name_Hall 'I -4 2bw'
loop_
_atom_site_label
_atom_site_type_symbol
_atom_site_fract_x
_atom_site_fract_y
_atom_site_fract_z
Ag1 Ag 0.0000 0.0000 0.0000
As1 As 0.0000 0.0000 0.5000
I1 I 0.2378 0.2500 0.6250
# Calculated volume in Å³/cell: 568
# Spin magnetization in μB/atom: 0.000

---

Stability check: which of them is least stable? w).

---

w) # PBE Ag3AsI, optimized geometry
data_Ag3AsI
_chemical_formula_sum 'Ag3 As1 I1'
_cell_length_a 5.0791
_cell_length_b 5.0791
_cell_length_c 5.0791
_cell_angle_alpha 90.00
_cell_angle_beta 90.00
_cell_angle_gamma 90.00
_symmetry_space_group_name_H-M 'P m -3 m'
_symmetry_Int_Tables_number 221
_symmetry_space_group_name_Hall '-P 4 2 3'
loop_
_atom_site_label
_atom_site_type_symbol
_atom_site_fract_x
_atom_site_fract_y
_atom_site_fract_z
Ag1 Ag 0.0000 0.0000 0.5000
As1 As 0.0000 0.0000 0.0000
I1 I 0.5000 0.5000 0.5000
# Calculated volume in Å³/cell: 131
# Spin magnetization in μB/atom: 0.000

---

x) # PBE Ag3AsI, optimized geometry
data_Ag3AsI
_chemical_formula_sum 'Ag3 As1 I1'
_cell_length_a 5.3861
_cell_length_b 5.3861
_cell_length_c 5.3861
_cell_angle_alpha 90.00
_cell_angle_beta 90.00
_cell_angle_gamma 90.00
_symmetry_space_group_name_H-M 'P m -3 m'
_symmetry_Int_Tables_number 221
_symmetry_space_group_name_Hall '-P 4 2 3'
loop_
_atom_site_label
_atom_site_type_symbol
_atom_site_fract_x
_atom_site_fract_y
_atom_site_fract_z
Ag1 Ag 0.0000 0.0000 0.5000
As1 As 0.5000 0.5000 0.5000
I1 I 0.0000 0.0000 0.0000
# Calculated volume in Å³/cell: 156
# Spin magnetization in μB/atom: 0.201

---

Stability check: which of them is least stable? x).